[1]
First-principles (PBE) data for a relaxed GaFeOs crystal, as listed in Alexandria via LeMat-Bulk.

abc: 2.724 4.407 13.220
angles: 90.00 90.00 90.00
Site moments in Bohr magnetons follow the coordinates.
Element x y z (fractional)
Ga: 0.500 0.000 0.527  -0.04
Ga: 0.500 0.500 0.973  -0.04
Fe: 0.000 0.500 0.139  1.25
Os: 0.500 0.500 0.303  -0.11
Fe: 0.000 0.000 0.361  1.25
Ga: 0.000 0.000 0.027  -0.04
Os: 0.000 0.500 0.803  -0.11
Fe: 0.500 0.500 0.639  1.25
Os: 0.000 0.000 0.697  -0.11
Fe: 0.500 0.000 0.861  1.25
Os: 0.500 0.000 0.197  -0.11
Ga: 0.000 0.500 0.473  -0.04

Properties
Space group: No. 63
E_form, eV/atom: 0.06
Spin magnetization, Bohr magnetons per cell: 4.331
DOS at the Fermi energy, states/eV/atom: 0.794

=====

[2]
First-principles (PBE) data for a relaxed GaFeOs crystal, as listed in Alexandria via LeMat-Bulk.

abc: 2.729 2.729 5.658
angles: 103.95 103.95 90.00
Site moments in Bohr magnetons follow the coordinates.
Element x y z (fractional)
Fe: 0.673 0.673 0.346  0.90
Ga: 0.007 0.007 0.013  -0.02
Os: 0.321 0.321 0.641  -0.05

Properties
Space group: No. 107
E_form, eV/atom: 0.02
Spin magnetization, Bohr magnetons per cell: 0.822
DOS at the Fermi energy, states/eV/atom: 0.527

=====

[3]
First-principles (PBE) data for a relaxed Ga2Fe2Os crystal, as listed in Alexandria via LeMat-Bulk.

abc: 7.189 7.189 2.591
angles: 90.00 90.00 90.00
Site moments in Bohr magnetons follow the coordinates.
Element x y z (fractional)
Os: 0.500 0.500 0.000  0.10
Ga: 0.181 0.681 0.500  -0.09
Fe: 0.116 0.384 0.000  2.00
Fe: 0.384 0.884 0.000  2.00
Ga: 0.319 0.181 0.500  -0.09
Os: 0.000 0.000 0.000  0.10
Fe: 0.616 0.116 0.000  2.00
Ga: 0.819 0.319 0.500  -0.09
Ga: 0.681 0.819 0.500  -0.09
Fe: 0.884 0.616 0.000  2.00

Properties
Space group: No. 127
E_form, eV/atom: 0.25
Distance to the lowest polymorph of the same formula, meV per atom: 94
Spin magnetization, Bohr magnetons per cell: 7.894
DOS at the Fermi energy, states/eV/atom: 0.775

=====

[4]
First-principles (PBE) data for a relaxed GaFe2Os2 crystal, as listed in Alexandria via LeMat-Bulk.

abc: 7.204 7.204 2.654
angles: 90.00 90.00 90.00
Site moments in Bohr magnetons follow the coordinates.
Element x y z (fractional)
Fe: 0.163 0.663 0.500  0.29
Fe: 0.837 0.337 0.500  0.29
Os: 0.130 0.370 0.000  -0.01
Os: 0.370 0.870 0.000  -0.01
Os: 0.870 0.630 0.000  -0.01
Os: 0.630 0.130 0.000  -0.01
Ga: 0.000 0.000 0.000  0.00
Fe: 0.663 0.837 0.500  0.29
Fe: 0.337 0.163 0.500  0.29
Ga: 0.500 0.500 0.000  0.00

Properties
Space group: No. 127
E_form, eV/atom: 0.35
Distance to the lowest polymorph of the same formula, meV per atom: 0
Spin magnetization, Bohr magnetons per cell: 1.135
DOS at the Fermi energy, states/eV/atom: 1.160

=====

[5]
First-principles (PBE) data for a relaxed GaFe2Os crystal, as listed in Alexandria via LeMat-Bulk.

abc: 2.697 2.697 6.721
angles: 90.00 90.00 90.00
Element x y z (fractional)
Fe: 0.000 0.000 0.252
Fe: 0.000 0.000 0.748
Os: 0.500 0.500 0.000
Ga: 0.500 0.500 0.500

Properties
Space group: No. 123
E_form, eV/atom: 0.02
Distance to the lowest polymorph of the same formula, meV per atom: 0
Spin magnetization, Bohr magnetons per cell: 0.001
DOS at the Fermi energy, states/eV/atom: 0.939

=====

[6]
First-principles (PBE) data for a relaxed GaFe2Os2 crystal, as listed in Alexandria via LeMat-Bulk.

abc: 7.215 7.215 2.668
angles: 90.00 90.00 90.00
Site moments in Bohr magnetons follow the coordinates.
Element x y z (fractional)
Fe: 0.119 0.381 0.000  0.01
Fe: 0.881 0.619 0.000  0.01
Fe: 0.619 0.119 0.000  0.01
Os: 0.328 0.172 0.500  0.07
Ga: 0.000 0.000 0.000  0.00
Fe: 0.381 0.881 0.000  0.01
Os: 0.172 0.672 0.500  0.05
Os: 0.672 0.828 0.500  0.07
Ga: 0.500 0.500 0.000  0.00
Os: 0.828 0.328 0.500  0.05

Properties
Space group: No. 127
E_form, eV/atom: 0.35
Distance to the lowest polymorph of the same formula, meV per atom: 2
Spin magnetization, Bohr magnetons per cell: 0.303
DOS at the Fermi energy, states/eV/atom: 1.119

=====

[7]
First-principles (PBE) data for a relaxed GaFe2Os crystal, as listed in Alexandria via LeMat-Bulk.

abc: 3.837 3.705 3.705
angles: 90.00 90.00 90.00
Site moments in Bohr magnetons follow the coordinates.
Element x y z (fractional)
Fe: 0.000 0.000 0.500  2.58
Os: 0.500 0.000 0.000  0.52
Ga: 0.500 0.500 0.500  -0.07
Fe: 0.000 0.500 0.000  2.58

Properties
Space group: No. 123
E_form, eV/atom: 0.05
Distance to the lowest polymorph of the same formula, meV per atom: 32
Spin magnetization, Bohr magnetons per cell: 5.662
DOS at the Fermi energy, states/eV/atom: 0.574

=====

[8]
First-principles (PBE) data for a relaxed GaFe2Os crystal, as listed in Alexandria via LeMat-Bulk.

abc: 2.685 2.685 8.456
angles: 80.86 80.86 60.00
Site moments in Bohr magnetons follow the coordinates.
Element x y z (fractional)
Fe: 0.750 0.750 0.751  1.96
Os: 0.500 0.500 0.500  -0.17
Ga: 0.000 0.000 0.000  -0.06
Fe: 0.250 0.250 0.249  1.96

Properties
Space group: No. 166
E_form, eV/atom: 0.08
Distance to the lowest polymorph of the same formula, meV per atom: 62
Spin magnetization, Bohr magnetons per cell: 3.665
DOS at the Fermi energy, states/eV/atom: 0.957

=====

[9]
First-principles (PBE) data for a relaxed Ga2Fe2Os crystal, as listed in Alexandria via LeMat-Bulk.

abc: 6.704 6.704 2.936
angles: 90.00 90.00 90.00
Site moments in Bohr magnetons follow the coordinates.
Element x y z (fractional)
Fe: 0.164 0.664 0.500  2.01
Fe: 0.664 0.836 0.500  2.01
Ga: 0.864 0.636 0.000  -0.07
Ga: 0.364 0.864 0.000  -0.07
Fe: 0.336 0.164 0.500  2.01
Ga: 0.636 0.136 0.000  -0.07
Fe: 0.836 0.336 0.500  2.01
Ga: 0.136 0.364 0.000  -0.07
Os: 0.000 0.000 0.000  0.26
Os: 0.500 0.500 0.000  0.26

Properties
Space group: No. 127
E_form, eV/atom: 0.16
Distance to the lowest polymorph of the same formula, meV per atom: 0
Spin magnetization, Bohr magnetons per cell: 8.304
DOS at the Fermi energy, states/eV/atom: 1.112

=====

[10]
First-principles (PBE) data for a relaxed Ga2FeOsPt crystal, as listed in Alexandria via LeMat-Bulk.

abc: 4.612 5.154 4.612
angles: 90.00 90.00 90.00
Site moments in Bohr magnetons follow the coordinates.
Element x y z (fractional)
Fe: 0.500 0.500 0.500  3.24
Ga: 0.000 0.000 0.500  -0.01
Os: 0.000 0.500 0.000  2.10
Pt: 0.000 0.000 0.000  0.15
Ga: 0.500 0.000 0.000  0.02

Properties
Space group: No. 123
E_form, eV/atom: 1.17
Spin magnetization, Bohr magnetons per cell: 5.689
DOS at the Fermi energy, states/eV/atom: 0.763

=====

[11]
First-principles (PBE) data for a relaxed PuGaFeOs crystal, as listed in Alexandria via LeMat-Bulk.

abc: 4.505 4.505 4.505
angles: 60.00 60.00 60.00
Site moments in Bohr magnetons follow the coordinates.
Element x y z (fractional)
Ga: 0.000 0.000 0.000  0.03
Os: 0.250 0.250 0.250  -0.36
Fe: 0.750 0.750 0.750  -2.00
Pu: 0.500 0.500 0.500  4.80

Properties
Space group: No. 216
E_form, eV/atom: -0.06
Spin magnetization, Bohr magnetons per cell: 2.613
DOS at the Fermi energy, states/eV/atom: 1.159

=====

[12]
First-principles (PBE) data for a relaxed GaFeSiOs crystal, as listed in Alexandria via LeMat-Bulk.

abc: 4.143 4.143 4.143
angles: 60.00 60.00 60.00
Site moments in Bohr magnetons follow the coordinates.
Element x y z (fractional)
Ga: 0.250 0.250 0.250  -0.01
Fe: 0.500 0.500 0.500  0.50
Si: 0.750 0.750 0.750  -0.01
Os: 0.000 0.000 0.000  0.05

Properties
Space group: No. 216
Formation energy without anion corrections, eV/f.u.: -0.633
Spin magnetization, Bohr magnetons per cell: 0.531
DOS at the Fermi energy, states/eV/atom: 0.833